The following is a PBE-GGA calculation of crystalline MnOs at its relaxed geometry, from the Alexandria database.

E_tot	-10.20	eV/atom
SG	No. 8

The structure in extended XYZ format:
```
6
Lattice="4.741 -1.334 0.000 4.741 1.334 0.000 -1.522 0.000 6.029" Properties=species:S:1:pos:R:3 pbc="T T T"
Mn 0.000 0.000 0.000
Mn -0.368 0.000 3.653
Mn 5.798 0.000 2.012
Os 2.174 0.000 4.007
Os 3.314 0.000 1.670
Os 5.347 0.000 5.691
```